Computed, not measured: a relaxed Pm5Dy2Tm2 crystal at the PBE level of DFT.

- DFT formation energy (eV/atom) = 0.02
- spin magnetization (μB/f.u.) = 0.000

Unit cell a=12.9233 b=6.2126 c=9.5115 alpha=102.41 beta=125.24 gamma=94.71
Fractional coordinates of all 18 atoms:
Pm 0.5283 0.7600 0.2500
Pm 0.9716 0.2593 0.5276
Pm 0.6383 0.7583 0.6934
Pm 0.4175 0.2595 0.3066
Pm 0.0830 0.2608 0.9717
Pm 0.0855 0.7624 0.4735
Pm 0.8612 0.2590 0.0827
Pm 0.1949 0.7610 0.9168
Pm 0.5262 0.2565 0.7495
Pm 0.7485 0.7592 0.1385
Tm 0.7504 0.2606 0.6379
Tm 0.4162 0.7599 0.8048
Tm 0.3046 0.7598 0.3616
Tm 0.6379 0.2586 0.1946
Dy 0.1959 0.2610 0.4175
Dy 0.9728 0.7590 0.0282
Dy 0.8596 0.7570 0.5835
Dy 0.3076 0.2602 0.8616